MnP6Se2: relaxed, PBE-GGA.

Results
- Crystal system: monoclinic
- Space-group type: P2_1/c, No. 14
- E_form (uncorrected): 0.1 eV/f.u.

Unit cell a=5.9431 b=7.5657 c=7.3123 alpha=90.00 beta=92.21 gamma=90.00
Closest atoms and distances in Å follow each position.
Fractional coordinates of all 18 atoms:
Mn 0.0000 0.0000 0.0000  6 P 2.23-2.31
Mn 0.0000 0.5000 0.5000  6 P 2.23-2.31
P 0.0788 0.2017 0.4888  2 P 2.21-2.28, 1 Mn 2.31
P 0.0788 0.2983 0.9888  2 P 2.21-2.28, 1 Mn 2.31
P 0.0968 0.5167 0.2029  2 P 2.21-2.28, 1 Mn 2.27
P 0.0968 0.9833 0.7029  2 P 2.21-2.28, 1 Mn 2.27
P 0.3613 0.5272 0.5913  1 P 2.20, 1 Mn 2.23, 1 Se 2.28
P 0.3613 0.9728 0.0913  1 P 2.20, 1 Mn 2.23, 1 Se 2.28
P 0.6387 0.0272 0.9087  1 P 2.20, 1 Mn 2.23, 1 Se 2.28
P 0.6387 0.4728 0.4087  1 P 2.20, 1 Mn 2.23, 1 Se 2.28
P 0.9032 0.0167 0.2971  2 P 2.21-2.28, 1 Mn 2.27
P 0.9032 0.4833 0.7971  2 P 2.21-2.28, 1 Mn 2.27
P 0.9212 0.7017 0.0112  2 P 2.21-2.28, 1 Mn 2.31
P 0.9212 0.7983 0.5112  2 P 2.21-2.28, 1 Mn 2.31
Se 0.4864 0.6279 0.1665  2 P 2.28-2.49
Se 0.4864 0.8721 0.6665  2 P 2.28-2.49
Se 0.5136 0.1279 0.3335  2 P 2.28-2.49
Se 0.5136 0.3721 0.8335  2 P 2.28-2.49

=====

Tc2Mo: relaxed, PBE-GGA.

Results
- Crystal system: tetragonal
- Calculated total energy: -10.102 eV per atom
- Space-group type: I4_1/amd, No. 141

Unit cell a=2.9922 b=2.9922 c=21.4112 alpha=90.00 beta=90.00 gamma=90.00
Closest atoms and distances in Å follow each position.
Fractional coordinates of all 12 atoms:
Tc 0.0000 0.2500 0.2989  2 Tc 2.57, 4 Mo 2.67
Tc 0.0000 0.2500 0.4511  2 Tc 2.57, 4 Mo 2.67
Tc 0.0000 0.7500 0.5489  2 Tc 2.57, 4 Mo 2.67
Tc 0.0000 0.7500 0.7011  2 Tc 2.57, 4 Mo 2.67
Tc 0.5000 0.2500 0.0489  2 Tc 2.57, 4 Mo 2.67
Tc 0.5000 0.2500 0.2011  2 Tc 2.57, 4 Mo 2.67
Tc 0.5000 0.7500 0.7989  2 Tc 2.57, 4 Mo 2.67
Tc 0.5000 0.7500 0.9511  2 Tc 2.57, 4 Mo 2.67
Mo 0.0000 0.2500 0.8750  8 Tc 2.67
Mo 0.0000 0.7500 0.1250  8 Tc 2.67
Mo 0.5000 0.2500 0.6250  8 Tc 2.67
Mo 0.5000 0.7500 0.3750  8 Tc 2.67

=====

LiVBr3: relaxed, PBE-GGA.

Results
- Crystal system: monoclinic
- Space-group type: C2/m, No. 12
- E_form (uncorrected): -5.3 eV/f.u.

Unit cell a=6.8158 b=6.8158 c=6.9001 alpha=101.18 beta=101.18 gamma=119.78
Closest atoms and distances in Å follow each position.
Fractional coordinates of all 10 atoms:
Li 0.1386 0.1386 0.3335  4 Br 2.51-2.71
Li 0.8614 0.8614 0.6665  4 Br 2.51-2.71
V 0.3312 0.6688 0.0000  6 Br 2.62-2.69
V 0.6688 0.3312 0.0000  6 Br 2.62-2.69
Br 0.0907 0.4505 0.2308  1 Li 2.51, 2 V 2.62-2.64
Br 0.2659 0.2659 0.7575  2 Li 2.59-2.71, 2 V 2.69
Br 0.4505 0.0907 0.2308  1 Li 2.51, 2 V 2.62-2.64
Br 0.5495 0.9093 0.7692  1 Li 2.51, 2 V 2.62-2.64
Br 0.7341 0.7341 0.2425  2 Li 2.59-2.71, 2 V 2.69
Br 0.9093 0.5495 0.7692  1 Li 2.51, 2 V 2.62-2.64

=====

Gd2LuCd: relaxed, PBE-GGA.

Results
- Crystal system: tetragonal
- Calculated total energy: -8.537 eV per atom
- Space-group type: P4/mmm, No. 123

Unit cell a=3.6050 b=3.6050 c=8.9980 alpha=90.00 beta=90.00 gamma=90.00
Closest atoms and distances in Å follow each position.
Fractional coordinates of all 4 atoms:
Gd 0.0000 0.0000 0.2327  4 Cd 3.30, 4 Lu 3.50, 4 Gd 3.61
Gd 0.0000 0.0000 0.7673  4 Cd 3.30, 4 Lu 3.50, 4 Gd 3.61
Lu 0.5000 0.5000 0.5000  8 Gd 3.50, 4 Lu 3.61
Cd 0.5000 0.5000 0.0000  8 Gd 3.30, 4 Cd 3.61

=====

Result set for V: 328.5; 191.7; 256.6; 116.9 Å³/cell, one per record in the order listed.